Below is K2ZnBTe after structural relaxation, with properties calculated at the PBE level.

POSCAR file:
```
K2ZnBTe
1.0
6.462 0.000 0.000
0.000 6.462 0.000
0.000 0.000 5.168
K Zn B Te
2 1 1 1
direct
0.000 0.500 0.000
0.500 0.000 0.000
0.000 0.000 0.000
0.500 0.500 0.500
0.000 0.000 0.500
```

Its formation energy from raw total energies is 0.817 eV/atom. As for the density of states at the Fermi level: 7.0 states/eV/cell. The value obtained for the volume is 43.16 Å³/atom. As for the symmetry: No. 123. The value obtained for the total energy is -9.2 eV per formula unit. The density is 2.17 Mg/m³. The calculation puts the total moment at 1.42 μB per cell.